# 1
The following is a meta-GGA SCAN calculation of HfMgBSe2 at its PBEsol-relaxed geometry, from the Alexandria database.

Structure (CIF):
```
data_HfMgBSe2
_chemical_formula_sum 'Hf1 Mg1 B1 Se2'
_cell_length_a 5.1052
_cell_length_b 5.1052
_cell_length_c 4.4668
_cell_angle_alpha 90.00
_cell_angle_beta 90.00
_cell_angle_gamma 90.00
_symmetry_space_group_name_H-M 'P 4/m m m'
_symmetry_Int_Tables_number 123
_symmetry_space_group_name_Hall '-P 4 2'
loop_
_atom_site_label
_atom_site_type_symbol
_atom_site_fract_x
_atom_site_fract_y
_atom_site_fract_z
Hf1 Hf 0.0000 0.0000 0.0000
Mg1 Mg 0.5000 0.5000 0.5000
B1 B 0.0000 0.0000 0.5000
Se1 Se 0.0000 0.5000 0.0000
```

Total magnetization in μB per cell: 0.0
Calculated volume in Å³/cell: 116.42

---

# 2
The following is a meta-GGA SCAN calculation of HfMnB2 at its PBEsol-relaxed geometry, from the Alexandria database.

Structure (CIF):
```
data_HfMnB2
_chemical_formula_sum 'Hf4 Mn4 B8'
_cell_length_a 3.7538
_cell_length_b 3.7538
_cell_length_c 13.4163
_cell_angle_alpha 90.00
_cell_angle_beta 90.00
_cell_angle_gamma 90.00
_symmetry_space_group_name_H-M 'I 41/a m d'
_symmetry_Int_Tables_number 141
loop_
_symmetry_equiv_pos_as_xyz
'x,y,z'
'-x,-y,-z'
'-y+1/4,x+3/4,z+1/4'
'y+1/4,-x+3/4,-z+1/4'
'-x+1/2,-y,z+1/2'
'x+1/2,y,-z+1/2'
'y+1/4,-x+1/4,z+3/4'
'-y+1/4,x+1/4,-z+3/4'
'x,-y,-z'
'-x,y,z'
'-y+1/4,-x+1/4,-z+3/4'
'y+1/4,x+1/4,z+3/4'
'-x+1/2,y,-z+1/2'
'x+1/2,-y,z+1/2'
'y+1/4,x+3/4,-z+1/4'
'-y+1/4,-x+3/4,z+1/4'
'x+1/2,y+1/2,z+1/2'
'-x+1/2,-y+1/2,-z+1/2'
'-y+3/4,x+1/4,z+3/4'
'y+3/4,-x+1/4,-z+3/4'
'-x,-y+1/2,z'
'x,y+1/2,-z'
'y+3/4,-x+3/4,z+1/4'
'-y+3/4,x+3/4,-z+1/4'
'x+1/2,-y+1/2,-z+1/2'
'-x+1/2,y+1/2,z+1/2'
'-y+3/4,-x+3/4,-z+1/4'
'y+3/4,x+3/4,z+1/4'
'-x,y+1/2,-z'
'x,-y+1/2,z'
'y+3/4,x+1/4,-z+3/4'
'-y+3/4,-x+1/4,z+3/4'
loop_
_atom_site_label
_atom_site_type_symbol
_atom_site_fract_x
_atom_site_fract_y
_atom_site_fract_z
Hf1 Hf 0.0000 0.2500 0.3750
Mn1 Mn 0.0000 0.2500 0.8750
B1 B 0.0000 0.0000 0.0000
```

Total magnetization in μB per cell: 3.2
Calculated volume in Å³/cell: 189.05
Formation energy from the elements in eV per atom: -0.062

---

# 3
The following is a meta-GGA SCAN calculation of Hf2B2Mo at its PBEsol-relaxed geometry, from the Alexandria database.

Structure (CIF):
```
data_Hf2B2Mo
_chemical_formula_sum 'Hf4 B4 Mo2'
_cell_length_a 6.2372
_cell_length_b 6.2372
_cell_length_c 3.3479
_cell_angle_alpha 90.00
_cell_angle_beta 90.00
_cell_angle_gamma 90.00
_symmetry_space_group_name_H-M 'P 4/m b m'
_symmetry_Int_Tables_number 127
_symmetry_space_group_name_Hall '-P 4 2ab'
loop_
_atom_site_label
_atom_site_type_symbol
_atom_site_fract_x
_atom_site_fract_y
_atom_site_fract_z
Hf1 Hf 0.1839 0.3161 0.0000
B1 B 0.1042 0.6042 0.5000
Mo1 Mo 0.0000 0.0000 0.5000
```

Total magnetization in μB per cell: 0.0
Calculated volume in Å³/cell: 130.24
Formation energy from the elements in eV per atom: -0.659

---

| no. | DFT total energy (eV/atom) |
| --- | --- |
| 1 | -22.969 |
| 2 | -24.009 |
| 3 | -35.677 |